Entry 1:
4
Lattice="3.9050 0.0000 0.0000 0.0000 3.9050 0.0000 0.0000 0.0000 8.4627" Properties=species:S:1:pos:R:3 comment="KPuTe2 | Alexandria | PBE-GGA | optimized geometry" total_energy_ev_per_atom=-6.432 e_form_raw_ev_per_atom=-1.004 pbc="T T T"
K 0.0000 0.0000 0.0000
Pu 0.0000 0.0000 4.2313
Te 1.9525 1.9525 2.4412
Te 1.9525 1.9525 6.0215

***

Entry 2:
4
Lattice="2.2711 1.3112 8.3344 -2.2711 1.3112 8.3344 0.0000 -2.6225 8.3344" Properties=species:S:1:pos:R:3 comment="KPuTe2 | Alexandria | PBE-GGA | optimized geometry" total_energy_ev_per_atom=-6.532 e_form_raw_ev_per_atom=-1.104 pbc="T T T"
K 0.0000 0.0000 0.0000
Pu 0.0000 0.0000 4.2307
Te 0.0000 0.0000 14.2833
Te 0.0000 0.0000 19.1648